# 1
First-principles (GGA-PBE) data for an optimized crystal structure of Ta2PBr, as listed in the Alexandria database.

The space group is I-4m2 (No. 119) and the conventional cell measures 3.6284, 3.6284 and 10.6420 Å, with angles of 90.00, 90.00 and 90.00 degrees. The distinct sites, in fractional coordinates, are Ta at (0.0000, 0.0000, 0.0000), Ta at (0.0000, 0.5000, 0.2500), P at (0.0000, 0.0000, 0.5000) and Br at (0.0000, 0.5000, 0.7500).

As for the excess energy over the best structure of this formula in the dataset: 744 meV/atom. The density of states at the Fermi level is 7.14 states/eV per cell. The total moment comes out at 0.00 μB/f.u. As for the total energy: -7.17 eV per atom. The value obtained for the uncorrected formation energy is 524 meV per atom.



# 2
First-principles (GGA-PBE) data for an optimized crystal structure of Ta2PBr, as listed in the Alexandria database.

The space group is P2/m (No. 10) and the conventional cell measures 3.4665, 3.9704 and 6.3850 Å, with angles of 90.00, 95.07 and 90.00 degrees. The distinct sites, in fractional coordinates, are Ta at (0.2031, 0.0000, 0.3418), P at (0.5000, 0.5000, 0.5000) and Br at (0.0000, 0.5000, 0.0000).

As for the excess energy over the best structure of this formula in the dataset: 267 meV/atom. The density of states at the Fermi level is 1.11 states/eV per cell. The total moment comes out at 0.00 μB/f.u. As for the total energy: -7.65 eV per atom. The value obtained for the uncorrected formation energy is 48 meV per atom.



# 3
First-principles (GGA-PBE) data for an optimized crystal structure of Ta3PBr, as listed in the Alexandria database.

The space group is Pm-3m (No. 221) and the conventional cell measures 4.6807, 4.6807 and 4.6807 Å, with angles of 90.00, 90.00 and 90.00 degrees. The distinct sites, in fractional coordinates, are Ta at (0.0000, 0.0000, 0.5000), P at (0.0000, 0.0000, 0.0000) and Br at (0.5000, 0.5000, 0.5000).

As for the excess energy over the best structure of this formula in the dataset: 0 meV/atom. The density of states at the Fermi level is 3.67 states/eV per cell. The total moment comes out at 0.00 μB/f.u. As for the total energy: -7.70 eV per atom. The value obtained for the uncorrected formation energy is 831 meV per atom.



# 4
First-principles (GGA-PBE) data for an optimized crystal structure of TaP4Br, as listed in the Alexandria database.

The space group is F-43m (No. 216) and the conventional cell measures 7.3383, 7.3383 and 7.3383 Å, with angles of 90.00, 90.00 and 90.00 degrees. The distinct sites, in fractional coordinates, are Ta at (0.0000, 0.0000, 0.0000), P at (0.1336, 0.1336, 0.6336) and Br at (0.2500, 0.2500, 0.2500).

The density of states at the Fermi level is 14.62 states/eV per cell. The total moment comes out at 0.00 μB/f.u. As for the total energy: -5.14 eV per atom. The value obtained for the uncorrected formation energy is 717 meV per atom.



# 5
First-principles (GGA-PBE) data for an optimized crystal structure of Ta2PBr, as listed in the Alexandria database.

The space group is C2/m (No. 12) and the conventional cell measures 7.4513, 3.5454 and 6.9758 Å, with angles of 90.00, 113.05 and 90.00 degrees. The distinct sites, in fractional coordinates, are Ta at (0.2444, 0.0000, 0.1468), P at (0.0000, 0.5000, 0.0000) and Br at (0.0000, 0.0000, 0.5000).

As for the excess energy over the best structure of this formula in the dataset: 146 meV/atom. The density of states at the Fermi level is 4.68 states/eV per cell. The total moment comes out at 0.00 μB/f.u. As for the total energy: -7.77 eV per atom. The value obtained for the uncorrected formation energy is -74 meV per atom.



# 6
First-principles (GGA-PBE) data for an optimized crystal structure of TaP3Br, as listed in the Alexandria database.

The space group is Pm-3m (No. 221) and the conventional cell measures 4.8443, 4.8443 and 4.8443 Å, with angles of 90.00, 90.00 and 90.00 degrees. The distinct sites, in fractional coordinates, are Ta at (0.0000, 0.0000, 0.0000), P at (0.0000, 0.0000, 0.5000) and Br at (0.5000, 0.5000, 0.5000).

As for the excess energy over the best structure of this formula in the dataset: 0 meV/atom. The density of states at the Fermi level is 3.82 states/eV per cell. The total moment comes out at 0.00 μB/f.u. As for the total energy: -5.57 eV per atom. The value obtained for the uncorrected formation energy is 384 meV per atom.



# 7
First-principles (GGA-PBE) data for an optimized crystal structure of Ta2PBr, as listed in the Alexandria database.

The space group is Cmm2 (No. 35) and the conventional cell measures 3.5653, 4.9102 and 9.5196 Å, with angles of 90.00, 90.00 and 90.00 degrees. The distinct sites, in fractional coordinates, are Ta at (0.0000, 0.0000, 0.0000), Ta at (0.0000, 0.5000, 0.2338), P at (0.0000, 0.0000, 0.4175) and Br at (0.0000, 0.5000, 0.7897).

As for the excess energy over the best structure of this formula in the dataset: 147 meV/atom. The density of states at the Fermi level is 3.03 states/eV per cell. The total moment comes out at 0.00 μB/f.u. As for the total energy: -7.77 eV per atom. The value obtained for the uncorrected formation energy is -73 meV per atom.



# 8
First-principles (GGA-PBE) data for an optimized crystal structure of Ta2PBr, as listed in the Alexandria database.

The space group is Pm (No. 6) and the conventional cell measures 3.2287, 4.7926 and 4.6999 Å, with angles of 90.00, 99.14 and 90.00 degrees. The distinct sites, in fractional coordinates, are Ta at (0.0000, 0.0000, 0.0000), Ta at (0.4973, 0.5000, 0.7587), P at (0.1003, 0.5000, 0.1819) and Br at (0.6268, 0.0000, 0.4555).

As for the excess energy over the best structure of this formula in the dataset: 264 meV/atom. The density of states at the Fermi level is 2.25 states/eV per cell. The total moment comes out at 0.00 μB/f.u. As for the total energy: -7.65 eV per atom. The value obtained for the uncorrected formation energy is 45 meV per atom.



# 9
First-principles (GGA-PBE) data for an optimized crystal structure of Ta2PBr, as listed in the Alexandria database.

The space group is Immm (No. 71) and the conventional cell measures 3.4528, 5.2563 and 8.1863 Å, with angles of 90.00, 90.00 and 90.00 degrees. The distinct sites, in fractional coordinates, are Ta at (0.0000, 0.0000, 0.2012), P at (0.0000, 0.5000, 0.5000) and Br at (0.0000, 0.5000, 0.0000).

As for the excess energy over the best structure of this formula in the dataset: 506 meV/atom. The density of states at the Fermi level is 6.22 states/eV per cell. The total moment comes out at 0.00 μB/f.u. As for the total energy: -7.41 eV per atom. The value obtained for the uncorrected formation energy is 286 meV per atom.



# 10
First-principles (GGA-PBE) data for an optimized crystal structure of Ta2PBr, as listed in the Alexandria database.

The space group is R-3m (No. 166, hexagonal axes) and the conventional cell measures 3.2583, 3.2583 and 23.3702 Å, with angles of 90.00, 90.00 and 120.00 degrees. The distinct sites, in fractional coordinates, are Ta at (0.0000, 0.0000, 0.2360), P at (0.0000, 0.0000, 0.5000) and Br at (0.0000, 0.0000, 0.0000).

As for the excess energy over the best structure of this formula in the dataset: 229 meV/atom. The density of states at the Fermi level is 4.28 states/eV per cell. The total moment comes out at 0.00 μB/f.u. As for the total energy: -7.69 eV per atom. The value obtained for the uncorrected formation energy is 9 meV per atom.



# 11
First-principles (GGA-PBE) data for an optimized crystal structure of Ta2PBr, as listed in the Alexandria database.

The space group is Fm-3m (No. 225) and the conventional cell measures 6.3771, 6.3771 and 6.3771 Å, with angles of 90.00, 90.00 and 90.00 degrees. The distinct sites, in fractional coordinates, are Ta at (0.2500, 0.2500, 0.2500), P at (0.0000, 0.0000, 0.0000) and Br at (0.0000, 0.0000, 0.5000).

As for the excess energy over the best structure of this formula in the dataset: 419 meV/atom. The density of states at the Fermi level is 24.13 states/eV per cell. The total moment comes out at 0.00 μB/f.u. As for the total energy: -7.50 eV per atom. The value obtained for the uncorrected formation energy is 199 meV per atom.



# 12
First-principles (GGA-PBE) data for an optimized crystal structure of Ta2PBr, as listed in the Alexandria database.

The space group is F-43m (No. 216) and the conventional cell measures 6.6105, 6.6105 and 6.6105 Å, with angles of 90.00, 90.00 and 90.00 degrees. The distinct sites, in fractional coordinates, are Ta at (0.0000, 0.0000, 0.0000), Ta at (0.2500, 0.2500, 0.2500), P at (0.2500, 0.2500, 0.7500) and Br at (0.0000, 0.0000, 0.5000).

As for the excess energy over the best structure of this formula in the dataset: 991 meV/atom. The density of states at the Fermi level is 6.37 states/eV per cell. The total moment comes out at 0.00 μB/f.u. As for the total energy: -6.93 eV per atom. The value obtained for the uncorrected formation energy is 771 meV per atom.